The following is a PBE calculation of MoP2Cl after structural relaxation, from Alexandria via LeMat-Bulk.

```
MoP2Cl
1.0
0.0000 3.0882 3.0882
3.0882 0.0000 3.0882
3.0882 3.0882 0.0000
Mo P Cl
1 2 1
Direct
0.0000 0.0000 0.0000
0.2500 0.2500 0.2500
0.5000 0.5000 0.5000
0.7500 0.7500 0.7500
```

Results
The symmetry is F-43m. The energy above the most stable polymorph in this dataset is 0.740 eV per atom. The spin magnetization is 0.000 μB per atom. The value obtained for the raw formation energy is 0.5082 eV/atom.